No. 1
The following is a PBE calculation of Nd6Si2Te3Br after structural relaxation, from the Alexandria database.

formation energy from raw total energies = -1.226 eV/atom
volume = 30.354 A^3/atom
total magnetic moment = 0.000 μB per formula unit
SG = C2/m, No. 12

Unit cell a=9.894 b=9.894 c=8.923 alpha=103.15 beta=103.15 gamma=25.39
Positions (direct):
Nd (0.016, 0.016, 0.264)
Nd (0.326, 0.326, 0.883)
Nd (0.327, 0.327, 0.431)
Nd (0.673, 0.673, 0.569)
Nd (0.674, 0.674, 0.117)
Nd (0.984, 0.984, 0.736)
Si (0.169, 0.169, 0.335)
Si (0.831, 0.831, 0.665)
Te (0.159, 0.159, 0.837)
Te (0.500, 0.500, 0.500)
Te (0.841, 0.841, 0.163)
Br (0.500, 0.500, 0.000)

No. 2
The following is a PBE calculation of Nd3SiTeBr after structural relaxation, from the Alexandria database.

formation energy from raw total energies = -1.046 eV/atom
volume = 33.708 A^3/atom
total magnetic moment = 1.351 μB per formula unit
SG = P2_1/m, No. 11

Unit cell a=8.993 b=4.281 c=10.508 alpha=90.00 beta=91.17 gamma=90.00
Positions (direct):
Nd (0.108, 0.250, 0.359)
Nd (0.145, 0.250, 0.912)
Nd (0.357, 0.750, 0.635)
Nd (0.643, 0.250, 0.365)
Nd (0.855, 0.750, 0.088)
Nd (0.892, 0.750, 0.641)
Si (0.126, 0.250, 0.642)
Si (0.874, 0.750, 0.358)
Te (0.374, 0.750, 0.332)
Te (0.626, 0.250, 0.668)
Br (0.368, 0.750, 0.925)
Br (0.632, 0.250, 0.075)

No. 3
The following is a PBE calculation of Nd8Si3Te4Br after structural relaxation, from the Alexandria database.

formation energy from raw total energies = -1.211 eV/atom
volume = 30.189 A^3/atom
total magnetic moment = 0.000 μB per formula unit
SG = R-3m, No. 166

Unit cell a=8.884 b=8.884 c=8.884 alpha=58.88 beta=58.88 gamma=58.88
Positions (direct):
Nd (0.226, 0.750, 0.750)
Nd (0.241, 0.241, 0.241)
Nd (0.250, 0.250, 0.774)
Nd (0.250, 0.774, 0.250)
Nd (0.750, 0.226, 0.750)
Nd (0.750, 0.750, 0.226)
Nd (0.759, 0.759, 0.759)
Nd (0.774, 0.250, 0.250)
Si (0.000, 0.000, 0.500)
Si (0.000, 0.500, 0.000)
Si (0.500, 0.000, 0.000)
Te (0.000, 0.000, 0.000)
Te (0.000, 0.500, 0.500)
Te (0.500, 0.000, 0.500)
Te (0.500, 0.500, 0.000)
Br (0.500, 0.500, 0.500)

No. 4
The following is a PBE calculation of Nd6ZnSi2Br3 after structural relaxation, from the Alexandria database.

formation energy from raw total energies = -0.941 eV/atom
volume = 28.813 A^3/atom
total magnetic moment = 0.000 μB per formula unit
SG = C2/m, No. 12

Unit cell a=9.769 b=9.769 c=8.869 alpha=105.00 beta=105.00 gamma=25.07
Positions (direct):
Nd (0.007, 0.007, 0.238)
Nd (0.325, 0.325, 0.438)
Nd (0.339, 0.339, 0.895)
Nd (0.661, 0.661, 0.105)
Nd (0.675, 0.675, 0.562)
Nd (0.993, 0.993, 0.762)
Zn (0.500, 0.500, 0.000)
Si (0.166, 0.166, 0.333)
Si (0.834, 0.834, 0.667)
Br (0.169, 0.169, 0.832)
Br (0.500, 0.500, 0.500)
Br (0.831, 0.831, 0.168)